Entry 1:
LaNb3In (PBE-GGA, relaxed); energy relative to the elements = 1.618 eV/atom; offset from the most stable computed form = 195 meV/atom
1.0
4.942 0.000 0.000
0.000 4.942 0.000
0.000 0.000 4.942
La Nb In
1 3 1
direct
0.000 0.000 0.000
0.000 0.000 0.500
0.000 0.500 0.000
0.500 0.000 0.000
0.500 0.500 0.500

=====

Entry 2:
LaNb2In2 (PBE-GGA, relaxed); energy relative to the elements = 0.006 eV/atom; offset from the most stable computed form = 46 meV/atom
1.0
8.700 0.000 0.000
0.000 8.700 0.000
0.000 0.000 3.061
La Nb In
2 4 4
direct
0.000 0.000 0.000
0.500 0.500 0.000
0.109 0.391 0.000
0.391 0.891 0.000
0.609 0.109 0.000
0.891 0.609 0.000
0.181 0.681 0.500
0.319 0.181 0.500
0.681 0.819 0.500
0.819 0.319 0.500

=====

Entry 3:
LaNb3In (PBE-GGA, relaxed); energy relative to the elements = 1.423 eV/atom; offset from the most stable computed form = 0 meV/atom
1.0
5.166 0.000 0.000
0.000 5.166 0.000
0.000 0.000 5.166
La Nb In
1 3 1
direct
0.000 0.000 0.000
0.000 0.500 0.500
0.500 0.000 0.500
0.500 0.500 0.000
0.500 0.500 0.500

=====

Entry 4:
La2NbIn (PBE-GGA, relaxed); energy relative to the elements = 0.372 eV/atom
1.0
-4.278 4.278 3.111
4.278 -4.278 3.111
4.278 4.278 -3.111
La Nb In
4 2 2
direct
0.088 0.625 0.963
0.375 0.338 0.463
0.662 0.125 0.037
0.875 0.912 0.537
0.000 0.000 0.000
0.750 0.250 0.500
0.250 0.750 0.500
0.500 0.500 0.000

=====

Entry 5:
LaNb2In2 (PBE-GGA, relaxed); energy relative to the elements = -0.040 eV/atom; offset from the most stable computed form = 0 meV/atom
1.0
-2.084 2.084 6.993
2.084 -2.084 6.993
2.084 2.084 -6.993
La Nb In
1 2 2
direct
0.000 0.000 0.000
0.250 0.750 0.500
0.750 0.250 0.500
0.396 0.396 0.000
0.604 0.604 0.000

=====

Entry 6:
La3NbIn (PBE-GGA, relaxed); energy relative to the elements = 0.206 eV/atom; offset from the most stable computed form = 0 meV/atom
1.0
5.542 0.000 0.000
0.000 5.542 0.000
0.000 0.000 5.542
La Nb In
3 1 1
direct
0.000 0.000 0.500
0.000 0.500 0.000
0.500 0.000 0.000
0.000 0.000 0.000
0.500 0.500 0.500

=====

Entry 7:
LaNb2In2 (PBE-GGA, relaxed); energy relative to the elements = 0.182 eV/atom; offset from the most stable computed form = 222 meV/atom
1.0
8.406 0.000 0.000
0.000 8.406 0.000
0.000 0.000 3.273
La Nb In
2 4 4
direct
0.000 0.000 0.000
0.500 0.500 0.000
0.172 0.328 0.500
0.328 0.828 0.500
0.672 0.172 0.500
0.828 0.672 0.500
0.124 0.624 0.000
0.376 0.124 0.000
0.624 0.876 0.000
0.876 0.376 0.000

=====

Entry 8:
RbLa2NbIn (PBE-GGA, relaxed); energy relative to the elements = 1.732 eV/atom
1.0
5.523 0.000 0.000
0.000 5.523 0.000
0.000 0.000 5.575
Rb La Nb In
1 2 1 1
direct
0.000 0.000 0.000
0.000 0.500 0.000
0.500 0.000 0.000
0.500 0.500 0.500
0.000 0.000 0.500

=====

Entry 9:
LaNbInTe2 (PBE-GGA, relaxed); offset from the most stable computed form = 0 meV/atom
1.0
5.405 0.000 0.000
0.000 5.405 0.000
0.000 0.000 5.374
La Nb In Te
1 1 1 2
direct
0.000 0.000 0.000
0.500 0.500 0.500
0.500 0.500 0.000
0.000 0.500 0.500
0.500 0.000 0.500

=====

Entry 10:
LaNbInTe2 (PBE-GGA, relaxed); offset from the most stable computed form = 867 meV/atom
1.0
6.162 0.000 0.000
0.000 6.162 0.000
0.000 0.000 5.434
La Nb In Te
1 1 1 2
direct
0.000 0.000 0.000
0.000 0.000 0.500
0.500 0.500 0.500
0.000 0.500 0.000
0.500 0.000 0.000

=====

Entry 11:
LaNbInTe2 (PBE-GGA, relaxed); offset from the most stable computed form = 1224 meV/atom
1.0
6.009 0.000 0.000
0.000 6.009 0.000
0.000 0.000 5.967
La Nb In Te
1 1 1 2
direct
0.000 0.000 0.000
0.500 0.500 0.500
0.000 0.000 0.500
0.000 0.500 0.000
0.500 0.000 0.000

=====

Entry 12:
LaNbV2In (PBE-GGA, relaxed); energy relative to the elements = 0.671 eV/atom
1.0
4.766 0.000 0.000
0.000 4.766 0.000
0.000 0.000 5.409
La Nb V In
1 1 2 1
direct
0.000 0.000 0.000
0.500 0.500 0.500
0.000 0.500 0.500
0.500 0.000 0.500
0.500 0.500 0.000

=====

| no. | V (Å³/f.u.) | E (Ry/atom) | magnetization (μB/f.u.) |
| --- | --- | --- | --- |
| 1 | 120.7 | -0.438 | 0.00 |
| 2 | 115.8 | -0.449 | 0.05 |
| 3 | 137.9 | -0.452 | 0.00 |
| 4 | 113.9 | -0.389 | 1.36 |
| 5 | 121.5 | -0.452 | 0.00 |
| 6 | 170.2 | -0.390 | 0.00 |
| 7 | 115.6 | -0.436 | 0.00 |
| 8 | 170.0 | -0.220 | 0.00 |
| 9 | 157.0 | -0.368 | 0.00 |
| 10 | 206.3 | -0.304 | 3.12 |
| 11 | 215.5 | -0.278 | 0.47 |
| 12 | 122.9 | -0.480 | 2.72 |